First-principles (GGA-PBE) data for a relaxed Zr3Co2Ni crystal, as listed in Alexandria via LeMat-Bulk.

Cell: 10.186 4.223 9.354 Å, 90.00 90.00 90.00°
Space group Pnma (No. 62)
Symmetry-distinct sites (fractional):
Zr 0.053 0.250 0.120 [4 per cell]
Zr 0.112 0.750 0.571 [4 per cell]
Zr 0.218 0.250 0.800 [4 per cell]
Co 0.016 0.750 0.303 [4 per cell]
Co 0.174 0.750 0.028 [4 per cell]
Ni 0.141 0.250 0.386 [4 per cell]

Calculated values
Formation energy from the elements: -0.282 eV/atom